Run P
# BC2 (PBE-GGA, optimized geometry)
# Total magnetic moment   0.000 Bohr magnetons per cell
# DOS at the Fermi energy   0.16 states/eV/atom
data_BC2
_chemical_formula_sum 'B4 C8'
_cell_length_a 4.4070
_cell_length_b 4.4070
_cell_length_c 8.1372
_cell_angle_alpha 119.33
_cell_angle_beta 119.33
_cell_angle_gamma 33.09
_space_group_name_H-M_alt 'P 1'
_space_group_IT_number 1
loop_
_space_group_symop_operation_xyz
'x,y,z'
loop_
_atom_site_label
_atom_site_type_symbol
_atom_site_fract_x
_atom_site_fract_y
_atom_site_fract_z
_atom_site_occupancy
B1 B 0.6402 0.6402 0.3358 1
B2 B 0.4500 0.4500 0.3860 1
B3 B 0.3833 0.3833 0.1556 1
B4 B 0.1931 0.1931 0.2059 1
C1 C 0.0202 0.0202 0.9835 1
C2 C 0.8569 0.8569 0.0158 1
C3 C 0.6727 0.6727 0.8304 1
C4 C 0.5106 0.5106 0.8678 1
C5 C 0.3227 0.3227 0.6739 1
C6 C 0.1607 0.1607 0.7112 1
C7 C 0.9764 0.9764 0.5258 1
C8 C 0.8131 0.8131 0.5581 1

=====

Run Q
# BC2 (PBE-GGA, optimized geometry)
# Total magnetic moment   0.000 Bohr magnetons per cell
# DOS at the Fermi energy   0.19 states/eV/atom
data_BC2
_chemical_formula_sum 'B4 C8'
_cell_length_a 2.4786
_cell_length_b 2.5719
_cell_length_c 12.0121
_cell_angle_alpha 90.00
_cell_angle_beta 90.00
_cell_angle_gamma 90.00
_space_group_name_H-M_alt 'P 1'
_space_group_IT_number 1
loop_
_space_group_symop_operation_xyz
'x,y,z'
loop_
_atom_site_label
_atom_site_type_symbol
_atom_site_fract_x
_atom_site_fract_y
_atom_site_fract_z
_atom_site_occupancy
B1 B 0.5000 0.5000 0.8475 1
B2 B 0.5000 0.0000 0.5607 1
B3 B 0.0000 0.0000 0.6781 1
B4 B 0.5000 0.5000 0.1706 1
C1 C 0.5000 0.0000 0.9327 1
C2 C 0.5000 0.5000 0.4781 1
C3 C 0.0000 0.5000 0.7552 1
C4 C 0.5000 0.0000 0.2559 1
C5 C 0.0000 0.0000 0.3271 1
C6 C 0.0000 0.5000 0.4064 1
C7 C 0.0000 0.0000 0.0075 1
C8 C 0.0000 0.5000 0.0801 1

=====

Stability, lowest: run Q

=====

Run P
# K2SbBr (PBE-GGA, optimized geometry)
# Total magnetic moment   2.020 Bohr magnetons per cell
# DOS at the Fermi energy   0.30 states/eV/atom
data_K2SbBr
_chemical_formula_sum 'K2 Sb1 Br1'
_cell_length_a 5.9980
_cell_length_b 5.9980
_cell_length_c 5.9980
_cell_angle_alpha 60.00
_cell_angle_beta 60.00
_cell_angle_gamma 60.00
_space_group_name_H-M_alt 'P 1'
_space_group_IT_number 1
loop_
_space_group_symop_operation_xyz
'x,y,z'
loop_
_atom_site_label
_atom_site_type_symbol
_atom_site_fract_x
_atom_site_fract_y
_atom_site_fract_z
_atom_site_occupancy
Br1 Br 0.5000 0.5000 0.5000 1
K1 K 0.0000 0.0000 0.0000 1
K2 K 0.2500 0.2500 0.2500 1
Sb1 Sb 0.7500 0.7500 0.7500 1

=====

Run Q
# K2SbBr (PBE-GGA, optimized geometry)
# Total magnetic moment   1.181 Bohr magnetons per cell
# DOS at the Fermi energy   0.45 states/eV/atom
data_K2SbBr
_chemical_formula_sum 'K2 Sb1 Br1'
_cell_length_a 6.9528
_cell_length_b 6.9528
_cell_length_c 6.9528
_cell_angle_alpha 144.63
_cell_angle_beta 109.53
_cell_angle_gamma 81.39
_space_group_name_H-M_alt 'P 1'
_space_group_IT_number 1
loop_
_space_group_symop_operation_xyz
'x,y,z'
loop_
_atom_site_label
_atom_site_type_symbol
_atom_site_fract_x
_atom_site_fract_y
_atom_site_fract_z
_atom_site_occupancy
Br1 Br 0.2500 0.7500 0.5000 1
K1 K 0.0311 0.0311 0.0000 1
K2 K 0.4689 0.4689 0.0000 1
Sb1 Sb 0.7500 0.2500 0.5000 1

=====

Stability, lowest: run P

=====

Run P
# As3C (PBE-GGA, optimized geometry)
# Total magnetic moment   0.000 Bohr magnetons per cell
# DOS at the Fermi energy   0.40 states/eV/atom
data_As3C
_chemical_formula_sum 'As3 C1'
_cell_length_a 3.3084
_cell_length_b 3.3084
_cell_length_c 8.1735
_cell_angle_alpha 90.00
_cell_angle_beta 90.00
_cell_angle_gamma 127.92
_space_group_name_H-M_alt 'P 1'
_space_group_IT_number 1
loop_
_space_group_symop_operation_xyz
'x,y,z'
loop_
_atom_site_label
_atom_site_type_symbol
_atom_site_fract_x
_atom_site_fract_y
_atom_site_fract_z
_atom_site_occupancy
As1 As 0.0000 0.0000 0.0761 1
As2 As 0.5000 0.5000 0.7500 1
As3 As 0.0000 0.0000 0.4239 1
C1 C 0.5000 0.5000 0.2500 1

=====

Run Q
# As3C (PBE-GGA, optimized geometry)
# Total magnetic moment   0.000 Bohr magnetons per cell
# DOS at the Fermi energy   0.43 states/eV/atom
data_As3C
_chemical_formula_sum 'As3 C1'
_cell_length_a 2.8852
_cell_length_b 2.8852
_cell_length_c 7.9021
_cell_angle_alpha 90.00
_cell_angle_beta 90.00
_cell_angle_gamma 90.00
_space_group_name_H-M_alt 'P 1'
_space_group_IT_number 1
loop_
_space_group_symop_operation_xyz
'x,y,z'
loop_
_atom_site_label
_atom_site_type_symbol
_atom_site_fract_x
_atom_site_fract_y
_atom_site_fract_z
_atom_site_occupancy
As1 As 0.0000 0.0000 0.9116 1
As2 As 0.5000 0.5000 0.2500 1
As3 As 0.0000 0.0000 0.5884 1
C1 C 0.5000 0.5000 0.7500 1

=====

Stability, lowest: run Q

=====

Run P
# Ni2OsBr (PBE-GGA, optimized geometry)
# Total magnetic moment   1.740 Bohr magnetons per cell
# DOS at the Fermi energy   1.44 states/eV/atom
data_Ni2OsBr
_chemical_formula_sum 'Ni2 Os1 Br1'
_cell_length_a 2.8770
_cell_length_b 4.5167
_cell_length_c 4.3479
_cell_angle_alpha 90.00
_cell_angle_beta 90.00
_cell_angle_gamma 90.00
_space_group_name_H-M_alt 'P 1'
_space_group_IT_number 1
loop_
_space_group_symop_operation_xyz
'x,y,z'
loop_
_atom_site_label
_atom_site_type_symbol
_atom_site_fract_x
_atom_site_fract_y
_atom_site_fract_z
_atom_site_occupancy
Br1 Br 0.0000 0.5000 0.5000 1
Ni1 Ni 0.0000 0.0000 0.0000 1
Ni2 Ni 0.5000 0.5000 0.0000 1
Os1 Os 0.5000 0.0000 0.5000 1

=====

Run Q
# Ni2OsBr (PBE-GGA, optimized geometry)
# Total magnetic moment   0.196 Bohr magnetons per cell
# DOS at the Fermi energy   1.39 states/eV/atom
data_Ni2OsBr
_chemical_formula_sum 'Ni2 Os1 Br1'
_cell_length_a 6.5167
_cell_length_b 6.5167
_cell_length_c 6.5167
_cell_angle_alpha 155.13
_cell_angle_beta 145.30
_cell_angle_gamma 43.16
_space_group_name_H-M_alt 'P 1'
_space_group_IT_number 1
loop_
_space_group_symop_operation_xyz
'x,y,z'
loop_
_atom_site_label
_atom_site_type_symbol
_atom_site_fract_x
_atom_site_fract_y
_atom_site_fract_z
_atom_site_occupancy
Br1 Br 0.3059 0.8059 0.5000 1
Ni1 Ni 0.0448 0.0448 0.0000 1
Ni2 Ni 0.6615 0.1615 0.5000 1
Os1 Os 0.4878 0.4878 0.0000 1

=====

Stability, lowest: run P

=====

Run P
# InPtBr2 (PBE-GGA, optimized geometry)
# Total magnetic moment   0.000 Bohr magnetons per cell
# DOS at the Fermi energy   0.46 states/eV/atom
data_InPtBr2
_chemical_formula_sum 'In1 Pt1 Br2'
_cell_length_a 3.8887
_cell_length_b 3.8874
_cell_length_c 8.0754
_cell_angle_alpha 90.00
_cell_angle_beta 90.00
_cell_angle_gamma 90.00
_space_group_name_H-M_alt 'P 1'
_space_group_IT_number 1
loop_
_space_group_symop_operation_xyz
'x,y,z'
loop_
_atom_site_label
_atom_site_type_symbol
_atom_site_fract_x
_atom_site_fract_y
_atom_site_fract_z
_atom_site_occupancy
Br1 Br 0.0000 0.0000 0.9573 1
Br2 Br 0.5000 0.5000 0.3057 1
Pt1 Pt 0.5000 0.5000 0.5992 1
In1 In 0.0000 0.0000 0.6378 1

=====

Run Q
# InPtBr2 (PBE-GGA, optimized geometry)
# Total magnetic moment   0.000 Bohr magnetons per cell
# DOS at the Fermi energy   1.31 states/eV/atom
data_InPtBr2
_chemical_formula_sum 'In1 Pt1 Br2'
_cell_length_a 9.7701
_cell_length_b 9.7701
_cell_length_c 9.7701
_cell_angle_alpha 21.31
_cell_angle_beta 21.31
_cell_angle_gamma 21.31
_space_group_name_H-M_alt 'P 1'
_space_group_IT_number 1
loop_
_space_group_symop_operation_xyz
'x,y,z'
loop_
_atom_site_label
_atom_site_type_symbol
_atom_site_fract_x
_atom_site_fract_y
_atom_site_fract_z
_atom_site_occupancy
Br1 Br 0.9158 0.9158 0.9158 1
Br2 Br 0.0842 0.0842 0.0842 1
Pt1 Pt 0.0000 0.0000 0.0000 1
In1 In 0.5000 0.5000 0.5000 1

=====

Stability, lowest: run Q

=====

Run P
# InOs2Cl (PBE-GGA, optimized geometry)
# Total magnetic moment   0.000 Bohr magnetons per cell
# DOS at the Fermi energy   1.39 states/eV/atom
data_InOs2Cl
_chemical_formula_sum 'In1 Os2 Cl1'
_cell_length_a 2.8530
_cell_length_b 4.9515
_cell_length_c 4.7338
_cell_angle_alpha 90.00
_cell_angle_beta 90.00
_cell_angle_gamma 90.00
_space_group_name_H-M_alt 'P 1'
_space_group_IT_number 1
loop_
_space_group_symop_operation_xyz
'x,y,z'
loop_
_atom_site_label
_atom_site_type_symbol
_atom_site_fract_x
_atom_site_fract_y
_atom_site_fract_z
_atom_site_occupancy
Cl1 Cl 0.5000 0.0000 0.5000 1
Os1 Os 0.0000 0.0000 0.0000 1
Os2 Os 0.5000 0.5000 0.0000 1
In1 In 0.0000 0.5000 0.5000 1

=====

Run Q
# InOs2Cl (PBE-GGA, optimized geometry)
# Total magnetic moment   0.000 Bohr magnetons per cell
# DOS at the Fermi energy   0.74 states/eV/atom
data_InOs2Cl
_chemical_formula_sum 'In1 Os2 Cl1'
_cell_length_a 4.8076
_cell_length_b 3.0973
_cell_length_c 4.7198
_cell_angle_alpha 89.96
_cell_angle_beta 90.00
_cell_angle_gamma 90.00
_space_group_name_H-M_alt 'P 1'
_space_group_IT_number 1
loop_
_space_group_symop_operation_xyz
'x,y,z'
loop_
_atom_site_label
_atom_site_type_symbol
_atom_site_fract_x
_atom_site_fract_y
_atom_site_fract_z
_atom_site_occupancy
Cl1 Cl 0.5000 0.2500 0.2500 1
Os1 Os 0.0000 0.0949 0.9883 1
Os2 Os 0.0000 0.4051 0.5117 1
In1 In 0.5000 0.7500 0.7500 1

=====

Stability, lowest: run Q

=====

Run P
# TlSi2Pb (PBE-GGA, optimized geometry)
# Total magnetic moment   0.000 Bohr magnetons per cell
# DOS at the Fermi energy   0.50 states/eV/atom
data_TlSi2Pb
_chemical_formula_sum 'Tl1 Si2 Pb1'
_cell_length_a 3.8080
_cell_length_b 3.8961
_cell_length_c 6.5623
_cell_angle_alpha 90.00
_cell_angle_beta 90.00
_cell_angle_gamma 90.00
_space_group_name_H-M_alt 'P 1'
_space_group_IT_number 1
loop_
_space_group_symop_operation_xyz
'x,y,z'
loop_
_atom_site_label
_atom_site_type_symbol
_atom_site_fract_x
_atom_site_fract_y
_atom_site_fract_z
_atom_site_occupancy
Pb1 Pb 0.5000 0.5000 0.7500 1
Si1 Si 0.0000 0.0000 0.0617 1
Si2 Si 0.0000 0.0000 0.4383 1
Tl1 Tl 0.5000 0.5000 0.2500 1

=====

Run Q
# TlSi2Pb (PBE-GGA, optimized geometry)
# Total magnetic moment   0.000 Bohr magnetons per cell
# DOS at the Fermi energy   0.58 states/eV/atom
data_TlSi2Pb
_chemical_formula_sum 'Tl2 Si4 Pb2'
_cell_length_a 6.2746
_cell_length_b 6.2746
_cell_length_c 7.5540
_cell_angle_alpha 65.46
_cell_angle_beta 65.46
_cell_angle_gamma 90.00
_space_group_name_H-M_alt 'P 1'
_space_group_IT_number 1
loop_
_space_group_symop_operation_xyz
'x,y,z'
loop_
_atom_site_label
_atom_site_type_symbol
_atom_site_fract_x
_atom_site_fract_y
_atom_site_fract_z
_atom_site_occupancy
Pb1 Pb 0.0000 0.0000 0.0000 1
Pb2 Pb 0.7500 0.2500 0.5000 1
Tl1 Tl 0.5000 0.5000 0.0000 1
Tl2 Tl 0.2500 0.7500 0.5000 1
Si1 Si 0.6202 0.1250 0.2500 1
Si2 Si 0.1298 0.6250 0.2500 1
Si3 Si 0.3750 0.3798 0.7500 1
Si4 Si 0.8750 0.8702 0.7500 1

=====

Stability, lowest: run Q